1.
A relaxed Li4NiAgSn2 crystal, computed with GGA-PBE.

Magnetization = 0.00 μB/f.u.
Uncorrected energy = -3.37 eV per atom

Geometry as POSCAR:
```
Li4NiAgSn2
1.0
4.4539 0.0000 0.0000
0.0000 4.4539 0.0000
0.0000 0.0000 6.4083
Li Sn Ag Ni
4 2 1 1
Direct
0.0000 0.0000 0.5000
0.5000 0.0000 0.2600
0.5000 0.5000 0.0000
0.0000 0.5000 0.7400
0.0000 0.5000 0.2770
0.5000 0.0000 0.7230
0.0000 0.0000 0.0000
0.5000 0.5000 0.5000
```

2.
A relaxed RbHoSO crystal, computed with GGA-PBE.

Magnetization = 0.00 μB/f.u.
Distance to the lowest polymorph of the same formula = 20.62 kJ per mole of atoms

Geometry as POSCAR:
```
RbHoSO
1.0
8.3559 0.0000 0.0000
0.0000 9.2895 0.0000
0.0000 0.0000 5.5058
Ho O S Rb
4 4 4 4
Direct
0.4317 0.6393 0.0626
0.0683 0.6393 0.5626
0.5683 0.3607 0.5626
0.9317 0.3607 0.0626
0.0386 0.1710 0.0628
0.9614 0.8290 0.5628
0.5386 0.8290 0.0628
0.4614 0.1710 0.5628
0.3959 0.6088 0.5626
0.1041 0.6088 0.0626
0.6041 0.3912 0.0626
0.8959 0.3912 0.5626
0.3828 0.0985 0.0620
0.1172 0.0985 0.5619
0.8828 0.9015 0.0620
0.6172 0.9015 0.5619
```

3.
A relaxed HgAu2F8 crystal, computed with GGA-PBE.

Uncorrected energy = -3.09 eV per atom

Geometry as POSCAR:
```
HgAu2F8
1.0
-3.4777 -1.4748 -3.9879
-3.7685 -1.3165 3.7733
-3.6862 9.5949 -0.3339
F Au Hg
16 4 2
Direct
0.3225 0.1844 0.6328
0.1844 0.3225 0.8672
0.3225 0.8156 0.1328
0.6775 0.1844 0.8672
0.8156 0.3225 0.6328
0.6775 0.8156 0.6328
0.6775 0.1844 0.1328
0.1844 0.6775 0.6328
0.1844 0.3225 0.1328
0.1844 0.6775 0.3672
0.8156 0.6775 0.1328
0.8156 0.3225 0.3672
0.8156 0.6775 0.8672
0.3225 0.1844 0.3672
0.6775 0.8156 0.3672
0.3225 0.8156 0.8672
0.5000 0.0000 0.0000
0.5000 0.0000 0.5000
0.0000 0.5000 0.0000
0.0000 0.5000 0.5000
0.0000 0.0000 0.2500
0.0000 0.0000 0.7500
```

4.
A relaxed TaBeSiTc crystal, computed with GGA-PBE.

Magnetization = 0.00 μB/f.u.
Distance to the lowest polymorph of the same formula = 6.53 kJ per mole of atoms

Geometry as POSCAR:
```
TaBeSiTc
1.0
-1.2557 -3.9957 0.5840
-3.4807 -1.4264 -1.9322
0.3282 -2.8015 -3.1508
Tc Ta Be Si
1 1 1 1
Direct
0.5000 0.5000 0.5000
0.0000 0.0000 0.0000
0.7500 0.7500 0.7500
0.2500 0.2500 0.2500
```

5.
A relaxed Hf4Co7Si6 crystal, computed with GGA-PBE.

Magnetization = 0.02 μB/f.u.
Uncorrected energy = -7.98 eV per atom

Geometry as POSCAR:
```
Hf4Co7Si6
1.0
6.0456 2.5705 -1.0228
-2.0288 1.4883 6.1539
0.2505 -6.6053 -0.7142
Si Hf Co
6 4 7
Direct
0.6759 0.0000 0.6759
0.0000 0.3241 0.3241
0.0000 0.6759 0.6759
0.6759 0.6759 0.0000
0.3241 0.3241 0.0000
0.3241 0.0000 0.3241
0.0000 0.5000 0.0000
0.0000 0.0000 0.5000
0.5000 0.0000 0.0000
0.5000 0.5000 0.5000
0.0000 0.0000 0.0000
0.5000 0.7500 0.2500
0.7500 0.2500 0.5000
0.7500 0.5000 0.2500
0.5000 0.2500 0.7500
0.2500 0.5000 0.7500
0.2500 0.7500 0.5000
```

6.
A relaxed KHoNb crystal, computed with GGA-PBE.

Magnetization = 4.87 μB/f.u.
Distance to the lowest polymorph of the same formula = 0.00 kJ per mole of atoms

Geometry as POSCAR:
```
KHoNb
1.0
-5.0923 -1.7539 0.9222
-3.1026 2.4720 3.7578
-4.2622 3.0474 -1.5509
Nb Ho K
1 1 1
Direct
0.0000 0.0000 0.0000
0.2500 0.2500 0.2500
0.7500 0.7500 0.7500
```

Please write out number 2 again, unchanged.
A relaxed RbHoSO crystal, computed with GGA-PBE.

Magnetization = 0.00 μB/f.u.
Distance to the lowest polymorph of the same formula = 20.62 kJ per mole of atoms

Geometry as POSCAR:
```
RbHoSO
1.0
8.3559 0.0000 0.0000
0.0000 9.2895 0.0000
0.0000 0.0000 5.5058
Ho O S Rb
4 4 4 4
Direct
0.4317 0.6393 0.0626
0.0683 0.6393 0.5626
0.5683 0.3607 0.5626
0.9317 0.3607 0.0626
0.0386 0.1710 0.0628
0.9614 0.8290 0.5628
0.5386 0.8290 0.0628
0.4614 0.1710 0.5628
0.3959 0.6088 0.5626
0.1041 0.6088 0.0626
0.6041 0.3912 0.0626
0.8959 0.3912 0.5626
0.3828 0.0985 0.0620
0.1172 0.0985 0.5619
0.8828 0.9015 0.0620
0.6172 0.9015 0.5619
```

Repeat the first record exactly.
A relaxed Li4NiAgSn2 crystal, computed with GGA-PBE.

Magnetization = 0.00 μB/f.u.
Uncorrected energy = -3.37 eV per atom

Geometry as POSCAR:
```
Li4NiAgSn2
1.0
4.4539 0.0000 0.0000
0.0000 4.4539 0.0000
0.0000 0.0000 6.4083
Li Sn Ag Ni
4 2 1 1
Direct
0.0000 0.0000 0.5000
0.5000 0.0000 0.2600
0.5000 0.5000 0.0000
0.0000 0.5000 0.7400
0.0000 0.5000 0.2770
0.5000 0.0000 0.7230
0.0000 0.0000 0.0000
0.5000 0.5000 0.5000
```

Copy entry 5 word for word.
A relaxed Hf4Co7Si6 crystal, computed with GGA-PBE.

Magnetization = 0.02 μB/f.u.
Uncorrected energy = -7.98 eV per atom

Geometry as POSCAR:
```
Hf4Co7Si6
1.0
6.0456 2.5705 -1.0228
-2.0288 1.4883 6.1539
0.2505 -6.6053 -0.7142
Si Hf Co
6 4 7
Direct
0.6759 0.0000 0.6759
0.0000 0.3241 0.3241
0.0000 0.6759 0.6759
0.6759 0.6759 0.0000
0.3241 0.3241 0.0000
0.3241 0.0000 0.3241
0.0000 0.5000 0.0000
0.0000 0.0000 0.5000
0.5000 0.0000 0.0000
0.5000 0.5000 0.5000
0.0000 0.0000 0.0000
0.5000 0.7500 0.2500
0.7500 0.2500 0.5000
0.7500 0.5000 0.2500
0.5000 0.2500 0.7500
0.2500 0.5000 0.7500
0.2500 0.7500 0.5000
```